(1)
Computed, not measured: a PBEsol-optimized structure of MgHgAs2Br at the meta-GGA SCAN level of DFT.

Output
* energy relative to the elements, uncorrected: 0.49 eV/atom
* total DFT energy (no corrections): -26.104 eV/atom

Unit cell a=5.0904 b=5.0904 c=5.3764 alpha=90.00 beta=90.00 gamma=90.00
Element x y z (fractional)
Br1 0.5000 0.5000 0.5000
As1 0.0000 0.5000 0.0000
Mg1 0.0000 0.0000 0.5000
Hg1 0.0000 0.0000 0.0000
As2 0.5000 0.0000 0.0000



(2)
Computed, not measured: a PBEsol-optimized structure of Ba3LiRe at the meta-GGA SCAN level of DFT.

Output
* ΔE_f: 1.43 eV/atom
* total DFT energy (no corrections): -36.996 eV/atom

Unit cell a=5.7592 b=5.7592 c=5.7592 alpha=90.00 beta=90.00 gamma=90.00
Element x y z (fractional)
Re1 0.5000 0.5000 0.5000
Li1 0.0000 0.0000 0.0000
Ba1 0.0000 0.0000 0.5000
Ba2 0.5000 0.0000 0.0000
Ba3 0.0000 0.5000 0.0000



(3)
Computed, not measured: a PBEsol-optimized structure of CaFeAs2 at the meta-GGA SCAN level of DFT.

Output
* ΔE_f: -0.20 eV/atom
* polymorph energy (0 for the lowest one): 7.05 kcal/mol of atoms
* total DFT energy (no corrections): -17.245 eV/atom

Unit cell a=3.7558 b=4.2178 c=4.5563 alpha=90.00 beta=90.00 gamma=90.00
Element x y z (fractional)
As1 0.0000 0.0000 0.0000
Fe1 0.5000 0.0000 0.5000
Ca1 0.5000 0.5000 0.0000
As2 0.0000 0.5000 0.5000